No. 1
This record from Alexandria via LeMat-Bulk describes a relaxed structure of ThMo2Se4Br2. The functional is PBE-GGA.

```
ThMo2Se4Br2
1.0
3.452 0.000 0.000
-1.726 2.990 0.000
0.000 0.000 23.007
Th Mo Se Br
1 2 4 2
Direct
0.000 0.000 0.000 Th
0.000 0.000 0.645 Mo
0.667 0.333 0.338 Mo
0.000 0.000 0.267 Se
0.000 0.000 0.409 Se
0.667 0.333 0.575 Se
0.667 0.333 0.716 Se
0.667 0.333 0.098 Br
0.667 0.333 0.902 Br
```

Raw formation energy, meV per atom: -845
Magnetization, μB/f.u.: 0.00
Fermi-level density of states, states/eV per cell: 1.875

---

No. 2
This record from Alexandria via LeMat-Bulk describes a relaxed structure of Sr2MoCl. The functional is PBE-GGA.

```
Sr2MoCl
1.0
4.067 -4.064 0.000
4.067 4.064 0.000
-0.006 0.000 3.579
Sr Mo Cl
2 1 1
Direct
0.000 0.500 0.000 Sr
0.500 0.000 0.000 Sr
0.000 0.000 0.500 Mo
0.500 0.500 0.500 Cl
```

Energy relative to the lowest polymorph listed for this composition, eV per formula unit: 0.63
Raw formation energy, meV per atom: 60
Magnetization, μB/f.u.: 3.13
Fermi-level density of states, states/eV per cell: 2.876

---

No. 3
This record from Alexandria via LeMat-Bulk describes a relaxed structure of CoHgTeI2. The functional is PBE-GGA.

```
CoHgTeI2
1.0
5.588 0.000 0.000
0.000 5.588 0.000
0.000 0.000 4.807
Co Hg Te I
1 1 1 2
Direct
0.000 0.000 0.000 Co
0.500 0.500 0.500 Hg
0.000 0.000 0.500 Te
0.000 0.500 0.000 I
0.500 0.000 0.000 I
```

Energy relative to the lowest polymorph listed for this composition, eV per formula unit: 0.00
Raw formation energy, meV per atom: 267
Magnetization, μB/f.u.: 0.00
Fermi-level density of states, states/eV per cell: 5.945

---

No. 4
This record from Alexandria via LeMat-Bulk describes a relaxed structure of BeH4NF3. The functional is PBE-GGA.

```
BeH4NF3
1.0
4.639 0.000 0.000
0.000 5.768 0.000
0.000 0.000 13.266
Be H N F
4 16 4 12
Direct
0.190 0.186 0.063 Be
0.310 0.814 0.563 Be
0.690 0.314 0.937 Be
0.810 0.686 0.437 Be
0.019 0.706 0.881 H
0.113 0.275 0.383 H
0.177 0.963 0.863 H
0.204 0.755 0.773 H
0.296 0.245 0.273 H
0.323 0.037 0.363 H
0.387 0.725 0.883 H
0.481 0.294 0.381 H
0.519 0.794 0.119 H
0.613 0.225 0.617 H
0.677 0.537 0.137 H
0.704 0.745 0.227 H
0.796 0.255 0.727 H
0.823 0.463 0.637 H
0.887 0.775 0.117 H
0.981 0.206 0.619 H
0.199 0.788 0.850 N
0.301 0.212 0.350 N
0.699 0.712 0.150 N
0.801 0.288 0.650 N
0.136 0.755 0.462 F
0.201 0.673 0.652 F
0.202 0.921 0.081 F
0.298 0.079 0.581 F
0.299 0.327 0.152 F
0.364 0.245 0.962 F
0.636 0.745 0.538 F
0.701 0.827 0.348 F
0.702 0.579 0.919 F
0.798 0.421 0.419 F
0.799 0.173 0.848 F
0.864 0.255 0.038 F
```

Energy relative to the lowest polymorph listed for this composition, eV per formula unit: 0.01
Magnetization, μB/f.u.: 0.08
Fermi-level density of states, states/eV per cell: 0.000

---

No. 5
This record from Alexandria via LeMat-Bulk describes a relaxed structure of Sr2InHg8. The functional is PBE-GGA.

```
Sr2InHg8
1.0
4.894 0.000 0.000
0.000 4.894 0.000
0.000 0.000 13.221
Sr In Hg
2 1 8
Direct
0.000 0.000 0.183 Sr
0.000 0.000 0.817 Sr
0.000 0.000 0.500 In
0.000 0.500 0.000 Hg
0.000 0.500 0.362 Hg
0.000 0.500 0.638 Hg
0.500 0.000 0.000 Hg
0.500 0.000 0.362 Hg
0.500 0.000 0.638 Hg
0.500 0.500 0.187 Hg
0.500 0.500 0.813 Hg
```

Calculated formation energy, kJ/mol of formula units: -309
Magnetization, μB/f.u.: 0.00
Fermi-level density of states, states/eV per cell: 5.952

---

No. 6
This record from Alexandria via LeMat-Bulk describes a relaxed structure of NpH2Br4. The functional is PBE-GGA.

```
NpH2Br4
1.0
6.064 0.000 0.000
-1.065 6.032 0.000
-2.382 -0.655 6.504
Np H Br
1 2 4
Direct
0.000 0.000 0.000 Np
0.181 0.806 0.924 H
0.819 0.194 0.076 H
0.070 0.273 0.736 Br
0.394 0.215 0.283 Br
0.606 0.785 0.717 Br
0.930 0.727 0.264 Br
```

VASP energy, eV/atom: -4.118
Magnetization, μB/f.u.: 1.00
Fermi-level density of states, states/eV per cell: 0.417

---

No. 7
This record from Alexandria via LeMat-Bulk describes a relaxed structure of TeSe. The functional is PBE-GGA.

```
TeSe
1.0
3.930 0.000 0.000
-1.965 3.404 0.000
0.000 0.000 8.058
Te Se
2 2
Direct
0.000 0.000 0.000 Te
0.000 0.000 0.500 Te
0.333 0.667 0.250 Se
0.667 0.333 0.750 Se
```

Raw formation energy, meV per atom: 189
Magnetization, μB/f.u.: 0.00
Fermi-level density of states, states/eV per cell: 2.386

---

No. 8
This record from Alexandria via LeMat-Bulk describes a relaxed structure of PmDyAlRu. The functional is PBE-GGA.

```
PmDyAlRu
1.0
0.000 3.552 3.552
3.552 0.000 3.552
3.552 3.552 0.000
Pm Dy Al Ru
1 1 1 1
Direct
0.000 0.000 0.000 Pm
0.500 0.500 0.500 Dy
0.250 0.250 0.250 Al
0.750 0.750 0.750 Ru
```

Calculated formation energy, kJ/mol of formula units: -108
Magnetization, μB/f.u.: 0.00
Fermi-level density of states, states/eV per cell: 2.567

---

No. 9
This record from Alexandria via LeMat-Bulk describes a relaxed structure of HfGaCo2. The functional is PBE-GGA.

```
HfGaCo2
1.0
3.119 0.000 0.000
0.000 3.119 0.000
0.000 0.000 5.692
Hf Ga Co
1 1 2
Direct
0.000 0.000 0.000 Hf
0.000 0.000 0.500 Ga
0.500 0.500 0.265 Co
0.500 0.500 0.735 Co
```

Calculated formation energy, kJ/mol of formula units: -148
Magnetization, μB/f.u.: 0.07
Fermi-level density of states, states/eV per cell: 2.968

---

No. 10
This record from Alexandria via LeMat-Bulk describes a relaxed structure of InCuAsSe2. The functional is PBE-GGA.

```
InCuAsSe2
1.0
5.069 0.000 0.000
0.000 5.069 0.000
0.000 0.000 4.544
In Cu As Se
1 1 1 2
Direct
0.000 0.000 0.000 In
0.500 0.500 0.500 Cu
0.500 0.500 0.000 As
0.000 0.500 0.500 Se
0.500 0.000 0.500 Se
```

Energy relative to the lowest polymorph listed for this composition, eV per formula unit: 0.00
Raw formation energy, meV per atom: 320
Magnetization, μB/f.u.: 0.00
Fermi-level density of states, states/eV per cell: 5.118

---

No. 11
This record from Alexandria via LeMat-Bulk describes a relaxed structure of AcZrNi10. The functional is PBE-GGA.

```
AcZrNi10
1.0
3.978 0.000 0.000
0.000 4.897 0.000
0.000 0.000 8.579
Ac Zr Ni
1 1 10
Direct
0.000 0.000 0.000 Ac
0.000 0.500 0.500 Zr
0.000 0.000 0.346 Ni
0.000 0.000 0.654 Ni
0.000 0.500 0.188 Ni
0.000 0.500 0.812 Ni
0.500 0.000 0.500 Ni
0.500 0.257 0.265 Ni
0.500 0.257 0.735 Ni
0.500 0.500 0.000 Ni
0.500 0.743 0.265 Ni
0.500 0.743 0.735 Ni
```

Calculated formation energy, kJ/mol of formula units: -280
Magnetization, μB/f.u.: 2.48
Fermi-level density of states, states/eV per cell: 13.413

---

No. 12
This record from Alexandria via LeMat-Bulk describes a relaxed structure of HfMgBi2O6. The functional is PBE-GGA.

```
HfMgBi2O6
1.0
5.582 0.000 0.000
0.000 5.881 0.000
-5.532 0.000 8.039
Hf Mg Bi O
2 2 4 12
Direct
0.000 0.000 0.000 Hf
0.000 0.500 0.500 Hf
0.500 0.000 0.500 Mg
0.500 0.500 0.000 Mg
0.260 0.046 0.750 Bi
0.260 0.454 0.250 Bi
0.740 0.546 0.750 Bi
0.740 0.954 0.250 Bi
0.137 0.036 0.249 O
0.137 0.464 0.749 O
0.237 0.697 0.055 O
0.237 0.803 0.555 O
0.363 0.188 0.052 O
0.363 0.312 0.552 O
0.637 0.688 0.448 O
0.637 0.812 0.948 O
0.763 0.197 0.445 O
0.763 0.303 0.945 O
0.863 0.536 0.251 O
0.863 0.964 0.751 O
```

Raw formation energy, meV per atom: -2190
Magnetization, μB/f.u.: 0.00
Fermi-level density of states, states/eV per cell: 0.000

---

No. 13
This record from Alexandria via LeMat-Bulk describes a relaxed structure of MgMn2Pt. The functional is PBE-GGA.

```
MgMn2Pt
1.0
-3.673 3.673 2.652
3.673 -3.673 2.652
3.673 3.673 -2.652
Mg Mn Pt
2 4 2
Direct
0.000 0.000 0.000 Mg
0.750 0.250 0.500 Mg
0.158 0.625 0.033 Mn
0.375 0.408 0.533 Mn
0.592 0.125 0.967 Mn
0.875 0.842 0.467 Mn
0.250 0.750 0.500 Pt
0.500 0.500 0.000 Pt
```

Calculated formation energy, kJ/mol of formula units: 81
Magnetization, μB/f.u.: 7.99
Fermi-level density of states, states/eV per cell: 1.917

---

No. 14
This record from Alexandria via LeMat-Bulk describes a relaxed structure of LiHfTeO5. The functional is PBE-GGA.

```
LiHfTeO5
1.0
3.354 -5.022 0.000
3.354 5.022 0.000
-2.808 0.000 6.894
Li Hf Te O
2 2 2 10
Direct
0.000 0.000 0.250 Li
0.000 0.000 0.750 Li
0.000 0.500 0.000 Hf
0.500 0.000 0.500 Hf
0.485 0.515 0.750 Te
0.515 0.485 0.250 Te
0.140 0.268 0.124 O
0.198 0.802 0.250 O
0.268 0.140 0.624 O
0.341 0.624 0.934 O
0.376 0.659 0.566 O
0.624 0.341 0.434 O
0.659 0.376 0.066 O
0.732 0.860 0.376 O
0.802 0.198 0.750 O
0.860 0.732 0.876 O
```

Raw formation energy, meV per atom: -1977
Magnetization, μB/f.u.: 0.77
Fermi-level density of states, states/eV per cell: 4.513

---

No. 15
This record from Alexandria via LeMat-Bulk describes a relaxed structure of HoEr2Te4. The functional is PBE-GGA.

```
HoEr2Te4
1.0
8.065 -2.158 0.000
8.065 2.158 0.000
-3.467 0.000 6.676
Ho Er Te
1 2 4
Direct
0.000 0.000 0.000 Ho
0.256 0.256 0.271 Er
0.744 0.744 0.729 Er
0.120 0.120 0.453 Te
0.371 0.371 0.034 Te
0.629 0.629 0.966 Te
0.880 0.880 0.547 Te
```

Energy relative to the lowest polymorph listed for this composition, eV per formula unit: 0.00
Raw formation energy, meV per atom: -1359
Magnetization, μB/f.u.: 0.00
Fermi-level density of states, states/eV per cell: 3.259

---

No. 16
This record from Alexandria via LeMat-Bulk describes a relaxed structure of TbY4Sb5. The functional is PBE-GGA.

```
TbY4Sb5
1.0
-2.197 3.105 10.977
2.197 -3.105 10.977
2.197 3.105 -10.977
Tb Y Sb
1 4 5
Direct
0.000 0.000 0.000 Tb
0.200 0.200 0.000 Y
0.400 0.400 0.000 Y
0.600 0.600 0.000 Y
0.800 0.800 0.000 Y
0.100 0.600 0.500 Sb
0.300 0.800 0.500 Sb
0.500 0.000 0.500 Sb
0.700 0.200 0.500 Sb
0.900 0.400 0.500 Sb
```

Raw formation energy, meV per atom: -1163
Magnetization, μB/f.u.: 0.00
Fermi-level density of states, states/eV per cell: 1.922

---

No. 17
This record from Alexandria via LeMat-Bulk describes a relaxed structure of Lu2SnRu. The functional is PBE-GGA.

```
Lu2SnRu
1.0
4.799 0.000 0.000
0.000 4.799 0.000
0.000 0.000 3.740
Lu Sn Ru
2 1 1
Direct
0.000 0.500 0.000 Lu
0.500 0.000 0.000 Lu
0.000 0.000 0.500 Sn
0.500 0.500 0.500 Ru
```

Calculated formation energy, kJ/mol of formula units: -182
Energy relative to the lowest polymorph listed for this composition, eV per formula unit: 0.56
Magnetization, μB/f.u.: 0.00
Fermi-level density of states, states/eV per cell: 2.415

---

No. 18
This record from Alexandria via LeMat-Bulk describes a relaxed structure of Li3As. The functional is PBE-GGA.

```
Li3As
1.0
1.562 0.902 9.212
-1.562 0.902 9.212
0.000 -1.804 9.212
Li As
3 1
Direct
0.000 0.000 0.000 Li
0.234 0.234 0.234 Li
0.766 0.766 0.766 Li
0.500 0.500 0.500 As
```

Calculated formation energy, kJ/mol of formula units: -76
Magnetization, μB/f.u.: 0.00
Fermi-level density of states, states/eV per cell: 1.698

---

No. 19
This record from Alexandria via LeMat-Bulk describes a relaxed structure of Sr3CdI. The functional is PBE-GGA.

```
Sr3CdI
1.0
6.361 0.000 0.000
0.000 6.361 0.000
0.000 0.000 6.361
Sr Cd I
3 1 1
Direct
0.000 0.000 0.500 Sr
0.000 0.500 0.000 Sr
0.500 0.000 0.000 Sr
0.000 0.000 0.000 Cd
0.500 0.500 0.500 I
```

Energy relative to the lowest polymorph listed for this composition, eV per formula unit: 0.00
Raw formation energy, meV per atom: -325
Magnetization, μB/f.u.: 0.00
Fermi-level density of states, states/eV per cell: 4.818

---

No. 20
This record from Alexandria via LeMat-Bulk describes a relaxed structure of LiSnPb. The functional is PBE-GGA.

```
LiSnPb
1.0
12.402 0.000 0.000
0.000 4.832 0.000
0.000 0.000 8.135
Li Sn Pb
6 6 6
Direct
0.125 0.000 0.206 Li
0.250 0.000 0.872 Li
0.375 0.000 0.206 Li
0.625 0.000 0.794 Li
0.750 0.000 0.128 Li
0.875 0.000 0.794 Li
0.103 0.000 0.586 Sn
0.250 0.500 0.068 Sn
0.397 0.000 0.586 Sn
0.603 0.000 0.414 Sn
0.750 0.500 0.932 Sn
0.897 0.000 0.414 Sn
0.057 0.500 0.820 Pb
0.250 0.500 0.451 Pb
0.443 0.500 0.820 Pb
0.557 0.500 0.180 Pb
0.750 0.500 0.549 Pb
0.943 0.500 0.180 Pb
```

Calculated formation energy, kJ/mol of formula units: -39
Energy relative to the lowest polymorph listed for this composition, eV per formula unit: 0.05
Magnetization, μB/f.u.: 0.00
Fermi-level density of states, states/eV per cell: 5.482